Entry 1:
The following is a SCAN calculation of a PBEsol-optimized structure of NdNi5Sn, from Alexandria.

The structure belongs to space group P6_3/mmc (No. 194); the cell edges are 4.8458, 4.8458 and 19.4402 Å and the angles 90.00°, 90.00° and 120.00°. The asymmetric unit holds Nd at (0.0000, 0.0000, 0.0000), Nd at (0.3333, 0.6667, 0.2500), Ni at (0.0000, 0.0000, 0.2500), Ni at (0.1660, 0.3321, 0.6464), Ni at (0.3333, 0.6667, 0.5437), Ni at (0.3333, 0.6667, 0.7500) and Sn at (0.3333, 0.6667, 0.0874).

For the density of states at the Fermi level, the calculation gives 20.12 states/eV per cell. The calculated formation energy comes out at -300.7 meV/atom. The calculation puts the total DFT energy (no corrections) at -23.21 eV per atom.

***

Entry 2:
The following is a SCAN calculation of a PBEsol-optimized structure of Nd2Ni2Sn, from Alexandria.

The structure belongs to space group Immm (No. 71); the cell edges are 4.2702, 5.6608 and 8.5122 Å and the angles 90.00°, 90.00° and 90.00°. The asymmetric unit holds Nd at (0.0000, 0.0000, 0.2025), Ni at (0.0000, 0.2884, 0.5000) and Sn at (0.0000, 0.5000, 0.0000).

For the density of states at the Fermi level, the calculation gives 6.18 states/eV per cell. The calculated formation energy comes out at -557.8 meV/atom. The calculation puts the total DFT energy (no corrections) at -31.64 eV per atom.

***

Entry 3:
The following is a SCAN calculation of a PBEsol-optimized structure of NdO2, from Alexandria.

The structure belongs to space group I4/mmm (No. 139); the cell edges are 4.2462, 4.2462 and 4.7420 Å and the angles 90.00°, 90.00° and 90.00°. The asymmetric unit holds Nd at (0.0000, 0.0000, 0.0000) and O at (0.0000, 0.5000, 0.2500).

For the density of states at the Fermi level, the calculation gives 1.11 states/eV per cell. The uncorrected formation energy is -2.89 eV per atom. The calculation puts the total DFT energy (no corrections) at -21.57 eV per atom.

***

Entry 4:
The following is a SCAN calculation of a PBEsol-optimized structure of NdO2, from Alexandria.

The structure belongs to space group Fm-3m (No. 225); the cell edges are 5.5948, 5.5948 and 5.5948 Å and the angles 90.00°, 90.00° and 90.00°. The asymmetric unit holds Nd at (0.0000, 0.0000, 0.0000) and O at (0.2500, 0.2500, 0.2500).

For the density of states at the Fermi level, the calculation gives 11.08 states/eV per cell. The uncorrected formation energy is -2.85 eV per atom. The calculation puts the total DFT energy (no corrections) at -21.53 eV per atom.